{"formula": "CsBi3As", "functional": "PBE", "state": "optimized geometry", "lattice": [[5.787, 0.000, 0.000], [0.000, 5.787, 0.000], [0.000, 0.000, 5.787]], "species": ["Cs", "Bi", "Bi", "Bi", "As"], "fractional_positions": [[0.000, 0.000, 0.000], [0.000, 0.500, 0.500], [0.500, 0.000, 0.500], [0.500, 0.500, 0.000], [0.500, 0.500, 0.500]], "dos_at_fermi_per_ev_cell": 5.283, "formation_enthalpy_0k_ev_per_atom": 0.197, "polymorph_energy_ev_per_atom": 0.000, "sg": "No. 221", "m_tot_mub_per_fu": 0.0}